Record 1
Computed, not measured: a relaxed structure of RbZnCl3 at the GGA-PBEsol level of DFT.

Properties
- Space-group type: P2_1 (4)
- Density of states at the Fermi level: 0.00 states/eV/cell
- M_tot: 0.00 μB/cell
- Total DFT energy (no corrections): -3.218 eV/atom

```
data_RbZnCl3
_cell_length_a 6.934
_cell_length_b 5.827
_cell_length_c 8.500
_cell_angle_alpha 90.00
_cell_angle_beta 111.83
_cell_angle_gamma 90.00
_space_group_name_H-M_alt 'P 1'
_space_group_IT_number 1
_space_group_name_Hall 'P 1'
loop_
_atom_site_label
_atom_site_type_symbol
_atom_site_fract_x
_atom_site_fract_y
_atom_site_fract_z
Rb1 Rb 0.043 0.000 0.253
Rb2 Rb 0.957 0.500 0.747
Zn1 Zn 0.485 0.082 0.858
Zn2 Zn 0.515 0.582 0.142
Cl1 Cl 0.179 0.995 0.664
Cl2 Cl 0.216 0.499 0.168
Cl3 Cl 0.492 0.484 0.873
Cl4 Cl 0.508 0.984 0.127
Cl5 Cl 0.784 0.999 0.832
Cl6 Cl 0.821 0.495 0.336
```

Record 2
Computed, not measured: a relaxed structure of Sr2BiPd2 at the GGA-PBEsol level of DFT.

Properties
- Space-group type: P4/mbm (127)
- Density of states at the Fermi level: 5.25 states/eV/cell
- M_tot: 0.00 μB/cell
- DFT formation energy: -0.621 eV per atom

```
data_Sr2BiPd2
_cell_length_a 7.679
_cell_length_b 7.679
_cell_length_c 4.286
_cell_angle_alpha 90.00
_cell_angle_beta 90.00
_cell_angle_gamma 90.00
_space_group_name_H-M_alt 'P 1'
_space_group_IT_number 1
_space_group_name_Hall 'P 1'
loop_
_atom_site_label
_atom_site_type_symbol
_atom_site_fract_x
_atom_site_fract_y
_atom_site_fract_z
Sr1 Sr 0.176 0.324 0.000
Sr2 Sr 0.324 0.824 0.000
Sr3 Sr 0.676 0.176 0.000
Sr4 Sr 0.824 0.676 0.000
Bi1 Bi 0.000 0.000 0.500
Bi2 Bi 0.500 0.500 0.500
Pd1 Pd 0.126 0.626 0.500
Pd2 Pd 0.374 0.126 0.500
Pd3 Pd 0.626 0.874 0.500
Pd4 Pd 0.874 0.374 0.500
```

Record 3
Computed, not measured: a relaxed structure of Cs3ZnI5 at the GGA-PBEsol level of DFT.

Properties
- Space-group type: Pnma (62)
- Density of states at the Fermi level: 0.00 states/eV/cell
- M_tot: 0.00 μB/cell
- Total DFT energy (no corrections): -2.715 eV/atom

```
data_Cs3ZnI5
_cell_length_a 9.827
_cell_length_b 11.512
_cell_length_c 14.520
_cell_angle_alpha 90.00
_cell_angle_beta 90.00
_cell_angle_gamma 90.00
_space_group_name_H-M_alt 'P 1'
_space_group_IT_number 1
_space_group_name_Hall 'P 1'
loop_
_atom_site_label
_atom_site_type_symbol
_atom_site_fract_x
_atom_site_fract_y
_atom_site_fract_z
Cs1 Cs 0.081 0.013 0.172
Cs2 Cs 0.081 0.487 0.172
Cs3 Cs 0.083 0.250 0.451
Cs4 Cs 0.417 0.750 0.951
Cs5 Cs 0.419 0.513 0.672
Cs6 Cs 0.419 0.987 0.672
Cs7 Cs 0.581 0.013 0.328
Cs8 Cs 0.581 0.487 0.328
Cs9 Cs 0.583 0.250 0.049
Cs10 Cs 0.917 0.750 0.549
Cs11 Cs 0.919 0.513 0.828
Cs12 Cs 0.919 0.987 0.828
Zn1 Zn 0.186 0.250 0.894
Zn2 Zn 0.314 0.750 0.394
Zn3 Zn 0.686 0.250 0.606
Zn4 Zn 0.814 0.750 0.106
I1 I 0.037 0.750 0.008
I2 I 0.134 0.250 0.718
I3 I 0.172 0.750 0.739
I4 I 0.189 0.559 0.437
I5 I 0.189 0.941 0.437
I6 I 0.311 0.059 0.937
I7 I 0.311 0.441 0.937
I8 I 0.328 0.250 0.239
I9 I 0.366 0.750 0.218
I10 I 0.463 0.250 0.508
I11 I 0.537 0.750 0.492
I12 I 0.634 0.250 0.782
I13 I 0.672 0.750 0.761
I14 I 0.689 0.559 0.063
I15 I 0.689 0.941 0.063
I16 I 0.811 0.059 0.563
I17 I 0.811 0.441 0.563
I18 I 0.828 0.250 0.261
I19 I 0.866 0.750 0.282
I20 I 0.963 0.250 0.992
```

Record 4
Computed, not measured: a relaxed structure of SrCrW at the GGA-PBEsol level of DFT.

Properties
- Excess energy over the best structure of this formula in the dataset: 0.0 meV/atom
- Space-group type: I4mm (107)
- Density of states at the Fermi level: 3.86 states/eV/cell
- M_tot: 0.93 μB/cell
- DFT formation energy: 0.866 eV per atom

```
data_SrCrW
_cell_length_a 6.415
_cell_length_b 6.415
_cell_length_c 6.415
_cell_angle_alpha 150.96
_cell_angle_beta 150.96
_cell_angle_gamma 41.54
_space_group_name_H-M_alt 'P 1'
_space_group_IT_number 1
_space_group_name_Hall 'P 1'
loop_
_atom_site_label
_atom_site_type_symbol
_atom_site_fract_x
_atom_site_fract_y
_atom_site_fract_z
Sr1 Sr 0.000 0.000 0.000
Cr1 Cr 0.291 0.291 0.000
W1 W 0.714 0.714 0.000
```

Record 5
Computed, not measured: a relaxed structure of InBiH2Br at the GGA-PBEsol level of DFT.

Properties
- Space-group type: P4/mmm (123)
- Density of states at the Fermi level: 2.95 states/eV/cell
- M_tot: 0.00 μB/cell
- Total DFT energy (no corrections): -2.522 eV/atom

```
data_InBiH2Br
_cell_length_a 4.111
_cell_length_b 4.111
_cell_length_c 6.772
_cell_angle_alpha 90.00
_cell_angle_beta 90.00
_cell_angle_gamma 90.00
_space_group_name_H-M_alt 'P 1'
_space_group_IT_number 1
_space_group_name_Hall 'P 1'
loop_
_atom_site_label
_atom_site_type_symbol
_atom_site_fract_x
_atom_site_fract_y
_atom_site_fract_z
In1 In 0.000 0.000 0.000
Bi1 Bi 0.500 0.500 0.000
H1 H 0.000 0.500 0.500
H2 H 0.500 0.000 0.500
Br1 Br 0.500 0.500 0.500
```

Record 6
Computed, not measured: a relaxed structure of CaCrGe2O6 at the GGA-PBEsol level of DFT.

Properties
- Space-group type: C2/c (15)
- Density of states at the Fermi level: 4.70 states/eV/cell
- M_tot: 7.50 μB/cell
- Total DFT energy (no corrections): -7.308 eV/atom

```
data_CaCrGe2O6
_cell_length_a 6.770
_cell_length_b 6.770
_cell_length_c 5.436
_cell_angle_alpha 100.49
_cell_angle_beta 100.49
_cell_angle_gamma 82.19
_space_group_name_H-M_alt 'P 1'
_space_group_IT_number 1
_space_group_name_Hall 'P 1'
loop_
_atom_site_label
_atom_site_type_symbol
_atom_site_fract_x
_atom_site_fract_y
_atom_site_fract_z
Ca1 Ca 0.192 0.808 0.750
Ca2 Ca 0.808 0.192 0.250
Cr1 Cr 0.411 0.589 0.250
Cr2 Cr 0.589 0.411 0.750
Ge1 Ge 0.114 0.316 0.778
Ge2 Ge 0.316 0.114 0.278
Ge3 Ge 0.684 0.886 0.722
Ge4 Ge 0.886 0.684 0.222
O1 O 0.105 0.175 0.029
O2 O 0.136 0.603 0.347
O3 O 0.175 0.105 0.529
O4 O 0.306 0.482 0.874
O5 O 0.397 0.864 0.153
O6 O 0.482 0.306 0.374
O7 O 0.518 0.694 0.626
O8 O 0.603 0.136 0.847
O9 O 0.694 0.518 0.126
O10 O 0.825 0.895 0.471
O11 O 0.864 0.397 0.653
O12 O 0.895 0.825 0.971
```

Record 7
Computed, not measured: a relaxed structure of FeCu2W at the GGA-PBEsol level of DFT.

Properties
- Excess energy over the best structure of this formula in the dataset: 11.2 meV/atom
- Space-group type: I-4m2 (119)
- Density of states at the Fermi level: 2.19 states/eV/cell
- M_tot: 0.00 μB/cell
- DFT formation energy: 0.268 eV per atom

```
data_FeCu2W
_cell_length_a 4.423
_cell_length_b 4.423
_cell_length_c 4.423
_cell_angle_alpha 131.24
_cell_angle_beta 131.24
_cell_angle_gamma 71.43
_space_group_name_H-M_alt 'P 1'
_space_group_IT_number 1
_space_group_name_Hall 'P 1'
loop_
_atom_site_label
_atom_site_type_symbol
_atom_site_fract_x
_atom_site_fract_y
_atom_site_fract_z
Fe1 Fe 0.000 0.000 0.000
Cu1 Cu 0.250 0.750 0.500
Cu2 Cu 0.500 0.500 0.000
W1 W 0.750 0.250 0.500
```

Record 8
Computed, not measured: a relaxed structure of Lu2Fe12P7 at the GGA-PBEsol level of DFT.

Properties
- Space-group type: P-6 (174)
- Density of states at the Fermi level: 20.86 states/eV/cell
- M_tot: 0.22 μB/cell
- DFT formation energy: -0.843 eV per atom

```
data_Lu2Fe12P7
_cell_length_a 8.783
_cell_length_b 8.783
_cell_length_c 3.571
_cell_angle_alpha 90.00
_cell_angle_beta 90.00
_cell_angle_gamma 120.00
_space_group_name_H-M_alt 'P 1'
_space_group_IT_number 1
_space_group_name_Hall 'P 1'
loop_
_atom_site_label
_atom_site_type_symbol
_atom_site_fract_x
_atom_site_fract_y
_atom_site_fract_z
Lu1 Lu 0.000 0.000 0.000
Lu2 Lu 0.333 0.667 0.500
Fe1 Fe 0.051 0.284 0.500
Fe2 Fe 0.093 0.703 0.000
Fe3 Fe 0.233 0.949 0.500
Fe4 Fe 0.297 0.390 0.000
Fe5 Fe 0.392 0.178 0.000
Fe6 Fe 0.550 0.428 0.500
Fe7 Fe 0.572 0.122 0.500
Fe8 Fe 0.610 0.907 0.000
Fe9 Fe 0.716 0.767 0.500
Fe10 Fe 0.786 0.608 0.000
Fe11 Fe 0.822 0.214 0.000
Fe12 Fe 0.878 0.450 0.500
P1 P 0.079 0.448 0.000
P2 P 0.264 0.220 0.500
P3 P 0.369 0.921 0.000
P4 P 0.552 0.631 0.000
P5 P 0.667 0.333 0.000
P6 P 0.780 0.044 0.500
P7 P 0.956 0.736 0.500
```

Record 9
Computed, not measured: a relaxed structure of Ta2AlAg at the GGA-PBEsol level of DFT.

Properties
- Space-group type: I4/mmm (139)
- Density of states at the Fermi level: 2.37 states/eV/cell
- M_tot: 0.00 μB/cell
- DFT formation energy: 0.007 eV per atom

```
data_Ta2AlAg
_cell_length_a 5.161
_cell_length_b 5.161
_cell_length_c 5.161
_cell_angle_alpha 135.60
_cell_angle_beta 135.60
_cell_angle_gamma 64.60
_space_group_name_H-M_alt 'P 1'
_space_group_IT_number 1
_space_group_name_Hall 'P 1'
loop_
_atom_site_label
_atom_site_type_symbol
_atom_site_fract_x
_atom_site_fract_y
_atom_site_fract_z
Ta1 Ta 0.250 0.750 0.500
Ta2 Ta 0.750 0.250 0.500
Al1 Al 0.000 0.000 0.000
Ag1 Ag 0.500 0.500 0.000
```

Record 10
Computed, not measured: a relaxed structure of MgAlH2 at the GGA-PBEsol level of DFT.

Properties
- Space-group type: Fm-3m (225)
- Density of states at the Fermi level: 0.94 states/eV/cell
- M_tot: 0.00 μB/cell
- Total DFT energy (no corrections): -2.640 eV/atom

```
data_MgAlH2
_cell_length_a 3.982
_cell_length_b 3.982
_cell_length_c 3.982
_cell_angle_alpha 60.00
_cell_angle_beta 60.00
_cell_angle_gamma 60.00
_space_group_name_H-M_alt 'P 1'
_space_group_IT_number 1
_space_group_name_Hall 'P 1'
loop_
_atom_site_label
_atom_site_type_symbol
_atom_site_fract_x
_atom_site_fract_y
_atom_site_fract_z
Mg1 Mg 0.000 0.000 0.000
Al1 Al 0.500 0.500 0.500
H1 H 0.250 0.250 0.250
H2 H 0.750 0.750 0.750
```

Record 11
Computed, not measured: a relaxed structure of Sc2CoHg at the GGA-PBEsol level of DFT.

Properties
- Space-group type: P4/mmm (123)
- Density of states at the Fermi level: 2.58 states/eV/cell
- M_tot: 0.36 μB/cell
- DFT formation energy: -0.448 eV per atom

```
data_Sc2CoHg
_cell_length_a 3.140
_cell_length_b 3.140
_cell_length_c 7.178
_cell_angle_alpha 90.00
_cell_angle_beta 90.00
_cell_angle_gamma 90.00
_space_group_name_H-M_alt 'P 1'
_space_group_IT_number 1
_space_group_name_Hall 'P 1'
loop_
_atom_site_label
_atom_site_type_symbol
_atom_site_fract_x
_atom_site_fract_y
_atom_site_fract_z
Sc1 Sc 0.000 0.000 0.211
Sc2 Sc 0.000 0.000 0.789
Co1 Co 0.500 0.500 0.000
Hg1 Hg 0.500 0.500 0.500
```